Compound: RbPaAg2Cl8
Source: the Alexandria database
Functional: PBE
Structure: relaxed

Summary:
total energy: -47.28 eV for the cell shown
space group: No. 12
formation energy without anion corrections: -1.362 eV/atom
magnetization: 0.0 Bohr magnetons per cell

Unit cell a=6.640 b=6.640 c=10.010 alpha=86.58 beta=86.58 gamma=71.44
Element x y z (fractional)
Cl (0.303, 0.303, 0.525)
Cl (0.776, 0.236, 0.818)
Ag (0.714, 0.714, 0.240)
Ag (0.286, 0.286, 0.760)
Cl (0.236, 0.776, 0.818)
Cl (0.243, 0.243, 0.003)
Cl (0.764, 0.224, 0.182)
Cl (0.224, 0.764, 0.182)
Cl (0.757, 0.757, 0.997)
Cl (0.697, 0.697, 0.475)
Rb (0.000, 0.000, 0.500)
Pa (0.000, 0.000, 0.000)



Compound: MnSbTe2Ru
Source: the Alexandria database
Functional: PBE
Structure: relaxed

Summary:
total energy: -25.41 eV for the cell shown
space group: No. 123
formation energy without anion corrections: 0.688 eV/atom
DOS(E_F): 1.054 states/eV per atom
magnetization: 4.1 Bohr magnetons per cell

Unit cell a=5.373 b=5.373 c=4.929 alpha=90.00 beta=90.00 gamma=90.00
Element x y z (fractional)
Sb (0.000, 0.000, 0.500)
Te (0.000, 0.500, 0.000)
Te (0.500, 0.000, 0.000)
Ru (0.000, 0.000, 0.000)
Mn (0.500, 0.500, 0.500)



Compound: Cs2KCd2Br7
Source: the Alexandria database
Functional: PBE
Structure: relaxed

Summary:
total energy: -32.04 eV for the cell shown
space group: No. 12
formation energy without anion corrections: -1.308 eV/atom
magnetization: 0.0 Bohr magnetons per cell

Unit cell a=5.611 b=5.611 c=14.884 alpha=79.10 beta=79.10 gamma=90.00
Element x y z (fractional)
Cs (0.821, 0.821, 0.356)
Cd (0.599, 0.599, 0.803)
Br (0.909, 0.409, 0.181)
Cs (0.179, 0.179, 0.644)
Br (0.306, 0.306, 0.387)
Br (0.500, 0.500, 0.000)
Br (0.091, 0.591, 0.819)
K (0.000, 0.000, 0.000)
Br (0.409, 0.909, 0.181)
Br (0.591, 0.091, 0.819)
Br (0.694, 0.694, 0.613)
Cd (0.401, 0.401, 0.197)



Compound: Ac2NdTl
Source: the Alexandria database
Functional: PBE
Structure: relaxed

Summary:
ΔE_f: -0.1331 eV per atom
total energy: -15.88 eV for the cell shown
space group: No. 123
DOS(E_F): 1.208 states/eV per atom
magnetization: 0.0 Bohr magnetons per cell

Unit cell a=3.954 b=3.954 c=9.768 alpha=90.00 beta=90.00 gamma=90.00
Element x y z (fractional)
Ac (0.000, 0.000, 0.228)
Nd (0.500, 0.500, 0.500)
Ac (0.000, 0.000, 0.772)
Tl (0.500, 0.500, 0.000)



Compound: Tc2PtRh5
Source: the Alexandria database
Functional: PBE
Structure: relaxed

Summary:
ΔE_f: -0.0151 eV per atom
total energy: -63.65 eV for the cell shown
space group: No. 71
DOS(E_F): 1.080 states/eV per atom
magnetization: 0.0 Bohr magnetons per cell

Unit cell a=2.734 b=6.746 c=6.746 alpha=78.43 beta=78.31 gamma=78.31
Element x y z (fractional)
Tc (0.737, 0.763, 0.763)
Rh (0.364, 0.416, 0.855)
Tc (0.263, 0.237, 0.237)
Pt (0.000, 0.000, 0.000)
Rh (0.636, 0.584, 0.145)
Rh (0.364, 0.855, 0.416)
Rh (0.000, 0.500, 0.500)
Rh (0.636, 0.145, 0.584)



Compound: NpCrS3
Source: the Alexandria database
Functional: PBE
Structure: relaxed

Summary:
total energy: -160.75 eV for the cell shown
space group: No. 62
formation energy without anion corrections: -1.048 eV/atom
DOS(E_F): 1.518 states/eV per atom
magnetization: 27.7 Bohr magnetons per cell

Unit cell a=3.701 b=7.620 c=12.866 alpha=90.00 beta=90.00 gamma=90.00
Element x y z (fractional)
Cr (0.750, 0.663, 0.053)
S (0.750, 0.516, 0.889)
Np (0.750, 0.899, 0.826)
Np (0.750, 0.399, 0.674)
S (0.250, 0.484, 0.111)
Np (0.250, 0.601, 0.326)
S (0.250, 0.184, 0.788)
Cr (0.250, 0.837, 0.553)
S (0.750, 0.155, 0.007)
Cr (0.750, 0.163, 0.447)
S (0.250, 0.984, 0.389)
S (0.750, 0.016, 0.611)
S (0.750, 0.316, 0.288)
Cr (0.250, 0.337, 0.947)
S (0.750, 0.655, 0.493)
Np (0.250, 0.101, 0.174)
S (0.750, 0.816, 0.212)
S (0.250, 0.345, 0.507)
S (0.250, 0.684, 0.712)
S (0.250, 0.845, 0.993)



Compound: BaSnRh
Source: the Alexandria database
Functional: PBE
Structure: relaxed

Summary:
ΔE_f: -0.4800 eV per atom
total energy: -14.72 eV for the cell shown
space group: No. 187
DOS(E_F): 0.851 states/eV per atom
magnetization: 0.0 Bohr magnetons per cell

Unit cell a=5.063 b=4.550 c=4.550 alpha=120.00 beta=90.00 gamma=90.00
Element x y z (fractional)
Rh (0.166, 0.667, 0.333)
Sn (0.167, 0.000, 0.000)
Ba (0.667, 0.333, 0.667)



Compound: ZnCu
Source: the Alexandria database
Functional: PBE
Structure: relaxed

Summary:
ΔE_f: -0.0162 eV per atom
total energy: -10.80 eV for the cell shown
space group: No. 166
DOS(E_F): 0.277 states/eV per atom
magnetization: 0.0 Bohr magnetons per cell

Unit cell a=2.665 b=8.740 c=2.665 alpha=98.77 beta=60.00 gamma=98.77
Element x y z (fractional)
Cu (0.998, 0.993, 0.998)
Zn (0.503, 0.510, 0.503)
Zn (0.747, 0.240, 0.747)
Cu (0.252, 0.757, 0.252)



Compound: Ba2H6Au
Source: the Alexandria database
Functional: PBE
Structure: relaxed

Summary:
total energy: -59.50 eV for the cell shown
space group: No. 14
DOS(E_F): 0.177 states/eV per atom
magnetization: 0.0 Bohr magnetons per cell

Unit cell a=4.716 b=8.152 c=7.740 alpha=90.00 beta=90.00 gamma=105.62
Element x y z (fractional)
H (0.357, 0.645, 0.560)
Ba (0.116, 0.303, 0.607)
H (0.296, 0.465, 0.890)
H (0.857, 0.145, 0.940)
H (0.819, 0.515, 0.807)
H (0.181, 0.485, 0.193)
Ba (0.616, 0.803, 0.893)
H (0.319, 0.015, 0.693)
Au (0.500, 0.000, 0.500)
H (0.204, 0.035, 0.390)
H (0.143, 0.855, 0.060)
H (0.681, 0.985, 0.307)
Au (0.000, 0.500, 0.000)
H (0.796, 0.965, 0.610)
H (0.704, 0.535, 0.110)
Ba (0.384, 0.197, 0.107)
H (0.643, 0.355, 0.440)
Ba (0.884, 0.697, 0.393)



Compound: Cu2PtO5
Source: the Alexandria database
Functional: PBE
Structure: relaxed

Summary:
total energy: -84.51 eV for the cell shown
space group: No. 15
formation energy without anion corrections: -0.404 eV/atom
DOS(E_F): 0.898 states/eV per atom
magnetization: 1.1 Bohr magnetons per cell

Unit cell a=5.382 b=5.584 c=7.112 alpha=109.31 beta=90.00 gamma=118.81
Element x y z (fractional)
O (0.178, 0.000, 0.250)
O (0.267, 0.856, 0.554)
O (0.345, 0.391, 0.652)
O (0.655, 0.609, 0.348)
Cu (0.652, 0.259, 0.216)
Cu (0.393, 0.741, 0.284)
Cu (0.348, 0.741, 0.784)
O (0.822, 0.000, 0.750)
O (0.953, 0.609, 0.848)
O (0.589, 0.856, 0.054)
O (0.411, 0.144, 0.946)
Cu (0.607, 0.259, 0.716)
Pt (0.000, 0.000, 0.500)
Pt (0.000, 0.000, 0.000)
O (0.047, 0.391, 0.152)
O (0.733, 0.144, 0.446)



Compound: Tm2PdAu8
Source: the Alexandria database
Functional: PBE
Structure: relaxed

Summary:
ΔE_f: -0.4914 eV per atom
total energy: -45.76 eV for the cell shown
space group: No. 12
DOS(E_F): 0.278 states/eV per atom
magnetization: 0.0 Bohr magnetons per cell

Unit cell a=6.981 b=5.419 c=8.009 alpha=109.78 beta=126.94 gamma=90.00
Element x y z (fractional)
Au (0.758, 0.755, 0.511)
Au (0.242, 0.601, 0.201)
Au (0.758, 0.399, 0.799)
Pd (0.000, 0.000, 0.000)
Au (0.784, 0.340, 0.173)
Au (0.784, 0.833, 0.173)
Au (0.216, 0.167, 0.827)
Au (0.242, 0.245, 0.489)
Au (0.216, 0.660, 0.827)
Tm (0.525, 0.156, 0.312)
Tm (0.475, 0.844, 0.688)



Compound: LiSeI2
Source: the Alexandria database
Functional: PBE
Structure: relaxed

Summary:
total energy: -9.86 eV for the cell shown
space group: No. 166
formation energy without anion corrections: -0.341 eV/atom
DOS(E_F): 0.606 states/eV per atom
magnetization: 0.7 Bohr magnetons per cell

Unit cell a=4.238 b=4.238 c=9.053 alpha=76.46 beta=76.46 gamma=60.00
Element x y z (fractional)
I (0.105, 0.105, 0.685)
I (0.895, 0.895, 0.315)
Li (0.500, 0.500, 0.500)
Se (0.000, 0.000, 0.000)